# 1
Density functional theory data (PBE) for crystalline PrMgCd2 at its relaxed geometry.

The calculated total energy comes out at -2.29 eV/atom. For the spin magnetization, the calculation gives 0.1 μB per cell. As for the distance to the lowest polymorph of the same formula: 98 meV/atom. The value obtained for the energy of formation from the pure elements is -235.7 meV per atom.

The space group is P4/mmm (No. 123) and the conventional cell measures 3.476, 3.476 and 8.272 Å, with angles of 90.00, 90.00 and 90.00 degrees. Symmetry generates all atoms from Pr at (0.000, 0.000, 0.000), Mg at (0.000, 0.000, 0.500) and Cd at (0.500, 0.500, 0.278).


# 2
Density functional theory data (PBE) for crystalline HgIrPb at its relaxed geometry.

The calculated total energy comes out at -3.91 eV/atom. For the spin magnetization, the calculation gives 0.0 μB per cell. As for the distance to the lowest polymorph of the same formula: 115 meV/atom. The value obtained for the energy of formation from the pure elements is 382.1 meV per atom.

The space group is I4mm (No. 107) and the conventional cell measures 3.234, 3.234 and 12.892 Å, with angles of 90.00, 90.00 and 90.00 degrees. Symmetry generates all atoms from Hg at (0.000, 0.000, 0.000), Ir at (0.000, 0.000, 0.363) and Pb at (0.000, 0.000, 0.724).


# 3
Density functional theory data (PBE) for crystalline SrLiTc2O at its relaxed geometry.

The calculated total energy comes out at -4.18 eV/atom. For the spin magnetization, the calculation gives 8.3 μB per cell.

The space group is P4/mmm (No. 123) and the conventional cell measures 5.782, 5.782 and 4.463 Å, with angles of 90.00, 90.00 and 90.00 degrees. Symmetry generates all atoms from Sr at (0.000, 0.000, 0.000), Li at (0.500, 0.500, 0.500), Tc at (0.000, 0.500, 0.000) and O at (0.000, 0.000, 0.500).


# 4
Density functional theory data (PBE) for crystalline LiRh2Se at its relaxed geometry.

The calculated total energy comes out at -5.14 eV/atom. For the spin magnetization, the calculation gives 0.0 μB per cell.

The space group is P2/m (No. 10) and the conventional cell measures 2.812, 4.409 and 4.741 Å, with angles of 90.00, 90.45 and 90.00 degrees. Symmetry generates all atoms from Li at (0.000, 0.000, 0.000), Rh at (0.279, 0.500, 0.247) and Se at (0.500, 0.000, 0.500).


# 5
Density functional theory data (PBE) for crystalline BaScAl3 at its relaxed geometry.

The calculated total energy comes out at -2.46 eV/atom. For the spin magnetization, the calculation gives 0.0 μB per cell. As for the distance to the lowest polymorph of the same formula: 1185 meV/atom. The value obtained for the energy of formation from the pure elements is 1435.9 meV per atom.

The space group is Pm-3m (No. 221) and the conventional cell measures 5.567, 5.567 and 5.567 Å, with angles of 90.00, 90.00 and 90.00 degrees. Symmetry generates all atoms from Ba at (0.000, 0.000, 0.000), Sc at (0.500, 0.500, 0.500) and Al at (0.000, 0.000, 0.500).


# 6
Density functional theory data (PBE) for crystalline Nd2LuPu at its relaxed geometry.

The calculated total energy comes out at -6.95 eV/atom. For the spin magnetization, the calculation gives 6.2 μB per cell. As for the distance to the lowest polymorph of the same formula: 32 meV/atom. The value obtained for the energy of formation from the pure elements is 146.6 meV per atom.

The space group is P4/mmm (No. 123) and the conventional cell measures 5.046, 5.046 and 4.964 Å, with angles of 90.00, 90.00 and 90.00 degrees. Symmetry generates all atoms from Nd at (0.000, 0.500, 0.000), Lu at (0.000, 0.000, 0.500) and Pu at (0.500, 0.500, 0.500).


# 7
Density functional theory data (PBE) for crystalline Ac8Ge3PSe4 at its relaxed geometry.

The calculated total energy comes out at -5.60 eV/atom. For the spin magnetization, the calculation gives 0.0 μB per cell.

The space group is R-3m (No. 166, hexagonal axes) and the conventional cell measures 9.0955, 9.0955 and 22.2355 Å, with angles of 90.00, 90.00 and 120.00 degrees. Symmetry generates all atoms from Ac at (0.0000, 0.0000, 0.2463), Ac at (0.0011, 0.5005, 0.2454), Ge at (0.0000, 0.5000, 0.5000), P at (0.0000, 0.0000, 0.5000), Se at (0.0000, 0.0000, 0.0000) and Se at (0.0000, 0.5000, 0.0000).


# 8
Density functional theory data (PBE) for crystalline B3OsCl at its relaxed geometry.

The calculated total energy comes out at -4.15 eV/atom. For the spin magnetization, the calculation gives 1.5 μB per cell. As for the distance to the lowest polymorph of the same formula: 1396 meV/atom.

The space group is Pm-3m (No. 221) and the conventional cell measures 3.784, 3.784 and 3.784 Å, with angles of 90.00, 90.00 and 90.00 degrees. Symmetry generates all atoms from B at (0.000, 0.000, 0.500), Os at (0.500, 0.500, 0.500) and Cl at (0.000, 0.000, 0.000).


Q: calculated total energy of number 1 (PrMgCd2)?
A: -2.29 eV/atom


Please write out number 8 again, unchanged.
Density functional theory data (PBE) for crystalline B3OsCl at its relaxed geometry.

The calculated total energy comes out at -4.15 eV/atom. For the spin magnetization, the calculation gives 1.5 μB per cell. As for the distance to the lowest polymorph of the same formula: 1396 meV/atom.

The space group is Pm-3m (No. 221) and the conventional cell measures 3.784, 3.784 and 3.784 Å, with angles of 90.00, 90.00 and 90.00 degrees. Symmetry generates all atoms from B at (0.000, 0.000, 0.500), Os at (0.500, 0.500, 0.500) and Cl at (0.000, 0.000, 0.000).